Here is a geometry-optimized UN4 structure from Alexandria. Energies are from GGA-PBE.

- D(E_F): 5.077 states/eV/cell
- Formation energy from raw total energies: 1.360 eV per atom
- M_tot: 2.32 μB/f.u.
- E: -37.789 eV/cell
- Crystal system: cubic

a = 4.181 Å, b = 4.181 Å, c = 4.181 Å
α = 90.00°, β = 90.00°, γ = 90.00°
Space group Pm-3m (No. 221)
One atom of each set of equivalent atoms:
U  0.000  0.000  0.000 x1
N  0.000  0.000  0.500 x3
N  0.500  0.500  0.500 x1

---

Here is a geometry-optimized SmTmGa structure from Alexandria. Energies are from GGA-PBE.

- D(E_F): 19.179 states/eV/cell
- M_tot: 0.00 μB/f.u.
- Energy of formation from the pure elements: -0.24 eV per atom
- E: -51.721 eV/cell
- Crystal system: cubic

a = 7.040 Å, b = 7.040 Å, c = 7.040 Å
α = 90.00°, β = 90.00°, γ = 90.00°
Space group F-43m (No. 216)
One atom of each set of equivalent atoms:
Sm  0.000  0.000  0.000 x4
Tm  0.000  0.000  0.500 x4
Ga  0.250  0.250  0.750 x4

---

Here is a geometry-optimized SrPr3B2N6 structure from Alexandria. Energies are from GGA-PBE.

- D(E_F): 4.828 states/eV/cell
- Formation energy from raw total energies: -0.849 eV per atom
- M_tot: 0.00 μB/f.u.
- E: -89.516 eV/cell
- Crystal system: trigonal

a = 5.7782 Å, b = 5.7782 Å, c = 6.4081 Å
α = 90.00°, β = 90.00°, γ = 120.00°
Space group P-3m1 (No. 164)
One atom of each set of equivalent atoms:
Sr  0.0000  0.0000  0.0000 x1
Pr  0.0000  0.0000  0.5000 x1
Pr  0.3333  0.6667  0.1521 x2
B  0.3333  0.6667  0.7354 x2
N  0.1898  0.3795  0.7620 x6

---

Here is a geometry-optimized Pm2PuNbN4 structure from Alexandria. Energies are from GGA-PBE.

- D(E_F): 7.362 states/eV/cell
- Formation energy from raw total energies: -1.286 eV per atom
- M_tot: 4.43 μB/f.u.
- E: -77.496 eV/cell
- Crystal system: monoclinic

a = 5.890 Å, b = 3.417 Å, c = 5.980 Å
α = 90.00°, β = 108.82°, γ = 90.00°
Space group P2/m (No. 10)
One atom of each set of equivalent atoms:
Pm  0.000  0.000  0.000 x1
Pm  0.500  0.500  0.000 x1
Pu  0.000  0.500  0.500 x1
Nb  0.500  0.000  0.500 x1
N  0.252  0.000  0.719 x2
N  0.270  0.500  0.285 x2

---

Here is a geometry-optimized AsIr2Pb structure from Alexandria. Energies are from GGA-PBE.

- D(E_F): 6.535 states/eV/cell
- M_tot: 0.00 μB/f.u.
- Energy of formation from the pure elements: 0.32 eV per atom
- E: -74.346 eV/cell
- Crystal system: trigonal

a = 3.1030 Å, b = 3.1030 Å, c = 25.6476 Å
α = 90.00°, β = 90.00°, γ = 120.00°
Space group R-3m (No. 166, hexagonal axes)
One atom of each set of equivalent atoms:
As  0.0000  0.0000  0.0000 x3
Ir  0.0000  0.0000  0.2615 x6
Pb  0.0000  0.0000  0.5000 x3

---

Please write out number 1 again, unchanged.
Here is a geometry-optimized UN4 structure from Alexandria. Energies are from GGA-PBE.

- D(E_F): 5.077 states/eV/cell
- Formation energy from raw total energies: 1.360 eV per atom
- M_tot: 2.32 μB/f.u.
- E: -37.789 eV/cell
- Crystal system: cubic

a = 4.181 Å, b = 4.181 Å, c = 4.181 Å
α = 90.00°, β = 90.00°, γ = 90.00°
Space group Pm-3m (No. 221)
One atom of each set of equivalent atoms:
U  0.000  0.000  0.000 x1
N  0.000  0.000  0.500 x3
N  0.500  0.500  0.500 x1

---

Question: Look up the E of the third one.
Answer: -89.516 eV/cell